[1]
# Nd2Sm6YHo

Nd2Sm6YHo after structural relaxation (PBE-GGA, Alexandria via LeMat-Bulk).

Geometry as extended XYZ:
```
20
Lattice="-4.542 -4.962 -7.100 7.833 0.293 -4.308 -1.243 -6.371 6.154" Properties=species:S:1:pos:R:3 pbc="T T T"
Nd -1.306 -4.551 -2.837
Ho 1.328 -4.890 0.107
Nd 1.925 -1.365 -0.394
Nd 3.354 -6.489 -2.417
Y -4.469 -9.960 0.621
Sm -2.351 -7.469 -4.426
Sm 5.744 -3.969 -3.815
Nd 0.123 -9.674 -4.861
Y 6.517 -1.080 -5.875
Sm -0.199 -5.028 3.688
Sm 4.399 -3.571 -0.828
Sm 2.248 -6.011 -8.943
Sm 1.825 -3.589 -3.073
Sm -1.160 -7.700 1.153
Ho 0.721 -6.149 -5.361
Sm -1.567 -10.150 -1.555
Sm 0.223 -7.451 -2.182
Sm 3.208 -3.340 -6.408
Sm 3.616 -0.889 -3.699
Sm -3.695 -7.070 -1.440
```

## Properties
Its density of states at the Fermi level is 28.19 states/eV per cell. The volume comes out at 680.9 Å³/cell. The value obtained for the total magnetic moment is 0.00 μB per cell. As for the total energy: -4.776 eV/atom.

=====

[2]
# ZrU2Ni9

ZrU2Ni9 after structural relaxation (PBE-GGA, Alexandria via LeMat-Bulk).

Geometry as extended XYZ:
```
12
Lattice="4.804 0.000 0.000 2.402 4.161 0.000 2.402 1.387 8.171" Properties=species:S:1:pos:R:3 pbc="T T T"
Ni 3.605 3.466 6.148
Ni 7.206 4.161 8.160
Zr 0.000 0.000 0.000
U 2.402 1.387 4.710
Ni 3.605 2.081 2.023
Ni 2.402 1.387 0.011
Ni 6.004 3.466 6.148
Ni 6.004 2.081 2.023
U 7.206 4.161 3.461
Ni 4.804 4.159 2.023
Ni 4.804 1.389 6.148
Ni 4.804 2.774 4.086
```

## Properties
Its density of states at the Fermi level is 16.02 states/eV per cell. The volume comes out at 163.3 Å³/cell. The value obtained for the total magnetic moment is 1.76 μB per cell. As for the total energy: -7.229 eV/atom.

=====

[3]
# CdBi3Br

CdBi3Br after structural relaxation (PBE-GGA, Alexandria via LeMat-Bulk).

Geometry as extended XYZ:
```
5
Lattice="5.731 0.000 0.000 0.000 5.731 0.000 0.000 0.000 5.731" Properties=species:S:1:pos:R:3 pbc="T T T"
Cd 0.000 0.000 0.000
Bi 0.000 2.866 0.000
Bi 0.000 0.000 2.866
Br 2.866 2.866 2.866
Bi 2.866 0.000 0.000
```

## Properties
Its density of states at the Fermi level is 3.69 states/eV per cell. The volume comes out at 188.3 Å³/cell. As for the excess energy over the best structure of this formula in the dataset: 0 meV per atom. The value obtained for the total magnetic moment is 0.00 μB per cell. As for the total energy: -2.311 eV/atom.

=====

> Among the records above, which one has the highest density of states at the Fermi level?

Nd2Sm6YHo